NaBi7Pd2, optimized geometry, DFT PBE; energy relative to the elements = -15 meV/atom; crystal system = orthorhombic
1.0
-0.182 4.145 2.877
-7.621 -2.437 3.029
6.926 -2.655 4.263
Na Bi Pd
1 7 2
direct
0.000 0.000 0.000 Na
0.000 0.775 0.225 Bi
0.000 0.225 0.775 Bi
0.500 0.065 0.331 Bi
0.500 0.935 0.669 Bi
0.500 0.331 0.065 Bi
0.500 0.669 0.935 Bi
0.500 0.500 0.500 Bi
0.500 0.692 0.308 Pd
0.500 0.308 0.692 Pd